# CrInRu2 PBE relaxed
# Calculated formation energy in meV/atom: 260
data_CrInRu2
_chemical_formula_sum 'Cr1 In1 Ru2'
_space_group_name_H-M_alt 'P 1'
_space_group_IT_number 1
_space_group_name_Hall 'P 1'
_cell_length_a 8.8698
_cell_length_b 8.8698
_cell_length_c 8.8698
_cell_angle_alpha 18.32
_cell_angle_beta 18.32
_cell_angle_gamma 18.32
loop_
_atom_site_label
_atom_site_type_symbol
_atom_site_fract_x
_atom_site_fract_y
_atom_site_fract_z
_atom_site_occupancy
Ru1 Ru 0.9918 0.9918 0.9918 1
In1 In 0.7500 0.7500 0.7500 1
Cr1 Cr 0.2500 0.2500 0.2500 1
Ru2 Ru 0.5082 0.5082 0.5082 1

# La3PmHo3S8 PBE relaxed
# Formation energy from raw total energies in eV/f.u.: -31.38
data_La3PmHo3S8
_chemical_formula_sum 'La3 Pm1 Ho3 S8'
_space_group_name_H-M_alt 'P 1'
_space_group_IT_number 1
_space_group_name_Hall 'P 1'
_cell_length_a 7.9588
_cell_length_b 7.9589
_cell_length_c 8.1018
_cell_angle_alpha 119.41
_cell_angle_beta 90.00
_cell_angle_gamma 120.00
loop_
_atom_site_label
_atom_site_type_symbol
_atom_site_fract_x
_atom_site_fract_y
_atom_site_fract_z
_atom_site_occupancy
Ho1 Ho 0.5000 0.0000 0.5000 1
Ho2 Ho 0.0000 0.5000 0.5000 1
La1 La 0.5000 0.5000 0.0000 1
S1 S 0.2505 0.9853 0.7358 1
La2 La 0.0000 0.5000 0.0000 1
S2 S 0.2651 0.0147 0.2642 1
S3 S 0.2504 0.5009 0.7357 1
S4 S 0.2571 0.5143 0.2714 1
S5 S 0.7495 0.0147 0.2642 1
Pm1 Pm 0.0000 0.0000 0.5000 1
S6 S 0.7496 0.4991 0.2643 1
Ho3 Ho 0.5000 0.5000 0.5000 1
S7 S 0.7429 0.4857 0.7286 1
S8 S 0.7349 0.9853 0.7358 1
La3 La 0.0000 0.0000 0.0000 1

# AcGe3Pd2 PBE relaxed
# Calculated formation energy in meV/atom: -606
data_AcGe3Pd2
_chemical_formula_sum 'Ac2 Ge6 Pd4'
_space_group_name_H-M_alt 'P 1'
_space_group_IT_number 1
_space_group_name_Hall 'P 1'
_cell_length_a 6.3473
_cell_length_b 6.4114
_cell_length_c 6.4114
_cell_angle_alpha 99.16
_cell_angle_beta 90.00
_cell_angle_gamma 90.00
loop_
_atom_site_label
_atom_site_type_symbol
_atom_site_fract_x
_atom_site_fract_y
_atom_site_fract_z
_atom_site_occupancy
Ac1 Ac 0.2500 0.6979 0.3021 1
Pd1 Pd 0.0000 0.8248 0.8248 1
Ge1 Ge 0.2500 0.5259 0.7758 1
Ge2 Ge 0.7500 0.4741 0.2242 1
Pd2 Pd 0.5000 0.8248 0.8248 1
Ge3 Ge 0.2500 0.2242 0.4741 1
Pd3 Pd 0.5000 0.1752 0.1752 1
Ge4 Ge 0.7500 0.7758 0.5259 1
Pd4 Pd 0.0000 0.1752 0.1752 1
Ge5 Ge 0.7500 0.8645 0.1355 1
Ge6 Ge 0.2500 0.1355 0.8645 1
Ac2 Ac 0.7500 0.3021 0.6979 1

# LiSm4In2 PBE relaxed
# Calculated formation energy in meV/atom: -208
data_LiSm4In2
_chemical_formula_sum 'Li1 Sm4 In2'
_space_group_name_H-M_alt 'P 1'
_space_group_IT_number 1
_space_group_name_Hall 'P 1'
_cell_length_a 5.3644
_cell_length_b 5.3644
_cell_length_c 9.0051
_cell_angle_alpha 72.67
_cell_angle_beta 72.67
_cell_angle_gamma 60.00
loop_
_atom_site_label
_atom_site_type_symbol
_atom_site_fract_x
_atom_site_fract_y
_atom_site_fract_z
_atom_site_occupancy
In1 In 0.7412 0.7412 0.7763 1
Li1 Li 0.0000 0.0000 0.0000 1
Sm1 Sm 0.6135 0.6135 0.1596 1
Sm2 Sm 0.1316 0.1316 0.6052 1
Sm3 Sm 0.3866 0.3866 0.8404 1
Sm4 Sm 0.8684 0.8684 0.3948 1
In2 In 0.2588 0.2588 0.2237 1

# Pm2SnPdAu6 PBE relaxed
# Calculated formation energy in meV/atom: -459
data_Pm2SnPdAu6
_chemical_formula_sum 'Pm2 Sn1 Pd1 Au6'
_space_group_name_H-M_alt 'P 1'
_space_group_IT_number 1
_space_group_name_Hall 'P 1'
_cell_length_a 6.5646
_cell_length_b 7.4853
_cell_length_c 7.4755
_cell_angle_alpha 42.42
_cell_angle_beta 84.56
_cell_angle_gamma 101.84
loop_
_atom_site_label
_atom_site_type_symbol
_atom_site_fract_x
_atom_site_fract_y
_atom_site_fract_z
_atom_site_occupancy
Au1 Au 0.9629 0.7796 0.8175 1
Pm1 Pm 0.7962 0.2861 0.4911 1
Au2 Au 0.6737 0.1761 0.0004 1
Au3 Au 0.3273 0.3274 0.4968 1
Au4 Au 0.3263 0.8239 0.9996 1
Pm2 Pm 0.2038 0.7139 0.5088 1
Au5 Au 0.6727 0.6726 0.5032 1
Au6 Au 0.0371 0.2204 0.1825 1
Pd1 Pd 0.0000 0.0000 0.0000 1
Sn1 Sn 0.5000 0.5000 0.0000 1

# Li2SnSbSe4 PBE relaxed
# Formation energy from raw total energies in eV/f.u.: -5.29
data_Li2SnSbSe4
_chemical_formula_sum 'Li2 Sn1 Sb1 Se4'
_space_group_name_H-M_alt 'P 1'
_space_group_IT_number 1
_space_group_name_Hall 'P 1'
_cell_length_a 4.0197
_cell_length_b 6.9856
_cell_length_c 6.9734
_cell_angle_alpha 70.37
_cell_angle_beta 90.00
_cell_angle_gamma 90.00
loop_
_atom_site_label
_atom_site_type_symbol
_atom_site_fract_x
_atom_site_fract_y
_atom_site_fract_z
_atom_site_occupancy
Se1 Se 0.5000 0.2392 0.7528 1
Sb1 Sb 0.0000 0.5000 0.5000 1
Sn1 Sn 0.5000 0.5000 0.0000 1
Se2 Se 0.5000 0.7608 0.2472 1
Se3 Se 0.0000 0.7618 0.7445 1
Li1 Li 0.0000 0.0000 0.0000 1
Se4 Se 0.0000 0.2382 0.2555 1
Li2 Li 0.5000 0.0000 0.5000 1

# NdLuP PBE relaxed
# Calculated formation energy in meV/atom: -906
data_NdLuP
_chemical_formula_sum 'Nd1 Lu1 P1'
_space_group_name_H-M_alt 'P 1'
_space_group_IT_number 1
_space_group_name_Hall 'P 1'
_cell_length_a 3.9250
_cell_length_b 3.9250
_cell_length_c 6.4664
_cell_angle_alpha 90.00
_cell_angle_beta 90.00
_cell_angle_gamma 120.00
loop_
_atom_site_label
_atom_site_type_symbol
_atom_site_fract_x
_atom_site_fract_y
_atom_site_fract_z
_atom_site_occupancy
Nd1 Nd 0.0000 0.0000 0.0793 1
P1 P 0.6667 0.3333 0.3458 1
Lu1 Lu 0.3333 0.6667 0.5749 1

# Y2ErMgC PBE relaxed
# Calculated formation energy in meV/atom: -213
data_Y2ErMgC
_chemical_formula_sum 'Y2 Er1 Mg1 C1'
_space_group_name_H-M_alt 'P 1'
_space_group_IT_number 1
_space_group_name_Hall 'P 1'
_cell_length_a 4.9045
_cell_length_b 5.0029
_cell_length_c 5.0029
_cell_angle_alpha 90.00
_cell_angle_beta 90.00
_cell_angle_gamma 90.00
loop_
_atom_site_label
_atom_site_type_symbol
_atom_site_fract_x
_atom_site_fract_y
_atom_site_fract_z
_atom_site_occupancy
Y1 Y 0.0000 0.0000 0.5000 1
Y2 Y 0.0000 0.5000 0.0000 1
Mg1 Mg 0.5000 0.5000 0.5000 1
C1 C 0.0000 0.0000 0.0000 1
Er1 Er 0.5000 0.0000 0.0000 1

| no. | D(E_F) (states/eV/f.u.) | VASP energy (eV per cell) |
| --- | --- | --- |
| 1 | 3.6 | -29.875 |
| 2 | 7.7 | -97.669 |
| 3 | 4.3 | -63.964 |
| 4 | 8.4 | -27.725 |
| 5 | 3.9 | -42.950 |
| 6 | 2.2 | -31.181 |
| 7 | 3.7 | -17.416 |
| 8 | 5.8 | -29.373 |